# 1
{
  "formula": "Hg2BiSb",
  "functional": "PBE",
  "state": "relaxed",
  "spacegroup": "P4/mmm",
  "final_energy_ev_per_atom": -1.97,
  "raw_formation_energy_kj_per_mol_fu": 69,
  "lattice": [[4.6460, 0.0000, 0.0000], [0.0000, 4.6460, 0.0000], [0.0000, 0.0000, 5.1515]],
  "species": ["Hg", "Hg", "Bi", "Sb"],
  "fractional_positions": [[0.0000, 0.5000, 0.0000], [0.5000, 0.0000, 0.0000], [0.0000, 0.0000, 0.5000], [0.5000, 0.5000, 0.5000]]
}


# 2
{
  "formula": "Hg2BiSb",
  "functional": "PBE",
  "state": "relaxed",
  "spacegroup": "R3m",
  "final_energy_ev_per_atom": -1.97,
  "raw_formation_energy_kj_per_mol_fu": 69,
  "lattice": [[2.2744, 1.3131, 6.6563], [-2.2744, 1.3131, 6.6563], [0.0000, -2.6262, 6.6563]],
  "species": ["Hg", "Hg", "Bi", "Sb"],
  "fractional_positions": [[0.0000, 0.0000, 0.0000], [0.1625, 0.1625, 0.1625], [0.5825, 0.5825, 0.5825], [0.4127, 0.4127, 0.4127]]
}


# 3
{
  "formula": "HgBi2Sb",
  "functional": "PBE",
  "state": "relaxed",
  "relative_energy_mev_per_atom": 67,
  "spacegroup": "P4/mmm",
  "final_energy_ev_per_atom": -2.89,
  "raw_formation_energy_kj_per_mol_fu": 61,
  "lattice": [[5.0199, 0.0000, 0.0000], [0.0000, 5.0199, 0.0000], [0.0000, 0.0000, 4.6560]],
  "species": ["Hg", "Bi", "Bi", "Sb"],
  "fractional_positions": [[0.0000, 0.0000, 0.0000], [0.0000, 0.5000, 0.5000], [0.5000, 0.0000, 0.5000], [0.5000, 0.5000, 0.0000]]
}


# 4
{
  "formula": "HgBi2Sb2",
  "functional": "PBE",
  "state": "relaxed",
  "relative_energy_mev_per_atom": 94,
  "spacegroup": "I4/mmm",
  "final_energy_ev_per_atom": -3.11,
  "raw_formation_energy_kj_per_mol_fu": 75,
  "lattice": [[-2.7625, 2.7625, 6.1620], [2.7625, -2.7625, 6.1620], [2.7625, 2.7625, -6.1620]],
  "species": ["Hg", "Bi", "Bi", "Sb", "Sb"],
  "fractional_positions": [[0.0000, 0.0000, 0.0000], [0.3649, 0.3649, 0.0000], [0.6351, 0.6351, 0.0000], [0.2500, 0.7500, 0.5000], [0.7500, 0.2500, 0.5000]]
}


# 5
{
  "formula": "HgBi2Sb",
  "functional": "PBE",
  "state": "relaxed",
  "relative_energy_mev_per_atom": 49,
  "spacegroup": "P4/mmm",
  "final_energy_ev_per_atom": -2.91,
  "raw_formation_energy_kj_per_mol_fu": 54,
  "lattice": [[4.0713, 0.0000, 0.0000], [0.0000, 4.0713, 0.0000], [0.0000, 0.0000, 7.1706]],
  "species": ["Hg", "Bi", "Bi", "Sb"],
  "fractional_positions": [[0.0000, 0.0000, 0.0000], [0.5000, 0.5000, 0.2669], [0.5000, 0.5000, 0.7331], [0.0000, 0.0000, 0.5000]]
}


# 6
{
  "formula": "Hg2BiSb2",
  "functional": "PBE",
  "state": "relaxed",
  "relative_energy_mev_per_atom": 0,
  "spacegroup": "I4/mmm",
  "final_energy_ev_per_atom": -2.40,
  "raw_formation_energy_kj_per_mol_fu": 73,
  "lattice": [[-2.1155, 2.1155, 8.6551], [2.1155, -2.1155, 8.6551], [2.1155, 2.1155, -8.6551]],
  "species": ["Hg", "Hg", "Bi", "Sb", "Sb"],
  "fractional_positions": [[0.2500, 0.7500, 0.5000], [0.7500, 0.2500, 0.5000], [0.0000, 0.0000, 0.0000], [0.4152, 0.4152, 0.0000], [0.5848, 0.5848, 0.0000]]
}